Density functional theory data (GGA-PBE) for an optimized crystal structure of Y6BiSb3Se2.

* density: 6.175 g/cm3
* formation energy from raw total energies: -15.83 eV/f.u.
* E: -6.49 eV/atom
* DOS at the Fermi energy: 4.32 states/eV/f.u.
* magnetic moment: 0.00 μB/f.u.

Lattice parameters (Å, degrees): 4.322 8.622 9.624 102.79 102.98 90.00
Sites, in units of the cell vectors:
Y (0.329, 0.910, 0.659)
Y (0.669, 0.580, 0.338)
Y (0.671, 0.090, 0.341)
Y (0.005, 0.258, 0.009)
Y (0.995, 0.742, 0.991)
Y (0.331, 0.420, 0.662)
Bi (0.500, 0.000, 0.000)
Sb (0.500, 0.500, 0.000)
Sb (0.836, 0.169, 0.672)
Sb (0.164, 0.831, 0.328)
Se (0.831, 0.664, 0.662)
Se (0.169, 0.336, 0.338)